AlTc2Pb | PBE-GGA | optimized geometry

## Properties
Space group: Cm (8)
Uncorrected energy, eV/f.u.: -27.0
ΔH_f (0 K), meV per atom: 306
Density, kg/m³: 10537
Offset from the most stable computed form, eV per atom: 0.248

Cell: 5.1584 5.1584 4.6902 Å, 107.93 107.93 35.02°
Closest atoms and distances in Å follow each position.
Fractional coordinates of all 4 atoms:
Al 0.0000 0.0000 0.0000  7 Tc 2.74-2.86
Tc 0.2573 0.2573 0.8505  2 Tc 2.73, 3 Al 2.74-2.84, 4 Pb 2.79-2.85
Tc 0.5315 0.5315 0.5297  2 Tc 2.73, 3 Pb 2.77-2.85, 4 Al 2.80-2.86
Pb 0.7748 0.7748 0.3548  7 Tc 2.77-2.85, 2 Al 3.10

=====

Al2TcPb | PBE-GGA | optimized geometry

## Properties
Space group: Pm (6)
Uncorrected energy, eV/f.u.: -20.9
ΔH_f (0 K), meV per atom: 154
Density, kg/m³: 7891

Cell: 3.4613 4.2446 5.4194 Å, 90.00 108.33 90.00°
Closest atoms and distances in Å follow each position.
Fractional coordinates of all 4 atoms:
Al 0.0000 0.0000 0.0000  2 Tc 2.69-2.70, 4 Al 2.84
Al 0.4283 0.5000 0.8547  2 Tc 2.50, 1 Pb 2.73
Tc 0.3002 0.0000 0.5976  4 Al 2.50-2.70
Pb 0.6973 0.5000 0.3861  3 Al 2.73-2.97, 4 Tc 2.94-2.95

=====

Al2TcPb | PBE-GGA | optimized geometry

## Properties
Space group: P4/mmm (123)
Uncorrected energy, eV/f.u.: -20.2
ΔH_f (0 K), meV per atom: 345
Density, kg/m³: 8431

Cell: 4.5781 4.5781 3.3749 Å, 90.00 90.00 90.00°
Closest atoms and distances in Å follow each position.
Fractional coordinates of all 4 atoms:
Al 0.0000 0.5000 0.0000  4 Pb 2.84, 4 Tc 2.84
Al 0.5000 0.0000 0.0000  4 Pb 2.84, 4 Tc 2.84
Tc 0.0000 0.0000 0.5000  8 Al 2.84
Pb 0.5000 0.5000 0.5000  8 Al 2.84

=====

AlTc2Pb | PBE-GGA | optimized geometry

## Properties
Space group: F-43m (216)
Uncorrected energy, eV/f.u.: -26.0
ΔH_f (0 K), meV per atom: 550
Density, kg/m³: 10409
Offset from the most stable computed form, eV per atom: 0.492

Cell: 4.5955 4.5955 4.5955 Å, 60.00 60.00 60.00°
Closest atoms and distances in Å follow each position.
Fractional coordinates of all 4 atoms:
Al 0.0000 0.0000 0.0000  4 Pb 2.81, 4 Tc 2.81
Tc 0.2500 0.2500 0.2500  4 Tc 2.81, 4 Al 2.81
Tc 0.5000 0.5000 0.5000  4 Pb 2.81, 4 Tc 2.81
Pb 0.7500 0.7500 0.7500  4 Tc 2.81, 4 Al 2.81

=====

Al2TcPb | PBE-GGA | optimized geometry

## Properties
Space group: R-3m (166)
Uncorrected energy, eV/f.u.: -21.1
ΔH_f (0 K), meV per atom: 119
Density, kg/m³: 7620

Cell: 9.5451 9.5451 9.5451 Å, 18.72 18.72 18.72°
Closest atoms and distances in Å follow each position.
Fractional coordinates of all 4 atoms:
Al 0.2321 0.2321 0.2321  3 Tc 2.57
Al 0.7679 0.7679 0.7679  3 Tc 2.57
Tc 0.5000 0.5000 0.5000  6 Al 2.57
Pb 0.0000 0.0000 0.0000  6 Pb 3.10, 6 Al 3.36

=====

AlTc2Pb | PBE-GGA | optimized geometry

## Properties
Space group: Fm-3m (225)
Uncorrected energy, eV/f.u.: -26.8
ΔH_f (0 K), meV per atom: 351
Density, kg/m³: 10819
Offset from the most stable computed form, eV per atom: 0.293

Cell: 4.5368 4.5368 4.5368 Å, 60.00 60.00 60.00°
Closest atoms and distances in Å follow each position.
Fractional coordinates of all 4 atoms:
Al 0.0000 0.0000 0.0000  8 Tc 2.78
Tc 0.2500 0.2500 0.2500  4 Pb 2.78, 4 Al 2.78
Tc 0.7500 0.7500 0.7500  4 Pb 2.78, 4 Al 2.78
Pb 0.5000 0.5000 0.5000  8 Tc 2.78

=====

AlTc2Pb | PBE-GGA | optimized geometry

## Properties
Space group: I-4m2 (119)
Uncorrected energy, eV/f.u.: -26.4
ΔH_f (0 K), meV per atom: 456
Density, kg/m³: 10617
Offset from the most stable computed form, eV per atom: 0.398

Cell: 5.0640 5.0640 5.0640 Å, 133.44 133.44 67.96°
Closest atoms and distances in Å follow each position.
Fractional coordinates of all 4 atoms:
Al 0.0000 0.0000 0.0000  8 Tc 2.83-2.90, 4 Pb 2.90
Tc 0.5000 0.5000 0.0000  4 Al 2.83, 4 Pb 2.90, 4 Tc 2.90
Tc 0.7500 0.2500 0.5000  4 Pb 2.83, 4 Tc 2.90, 4 Al 2.90
Pb 0.2500 0.7500 0.5000  8 Tc 2.83-2.90, 4 Al 2.90

=====

AlTc2Pb | PBE-GGA | optimized geometry

## Properties
Space group: Cmmm (65)
Uncorrected energy, eV/f.u.: -26.3
ΔH_f (0 K), meV per atom: 480
Density, kg/m³: 10311
Offset from the most stable computed form, eV per atom: 0.422

Cell: 2.9920 2.9920 8.4776 Å, 90.00 90.00 114.09°
Closest atoms and distances in Å follow each position.
Fractional coordinates of all 4 atoms:
Al 0.0000 0.0000 0.0000  4 Tc 2.54
Tc 0.5000 0.5000 0.2302  2 Al 2.54, 2 Pb 2.81
Tc 0.5000 0.5000 0.7698  2 Al 2.54, 2 Pb 2.81
Pb 0.0000 0.0000 0.5000  4 Tc 2.81, 4 Pb 2.99

=====

Al2TcPb | PBE-GGA | optimized geometry

## Properties
Space group: Cmmm (65)
Uncorrected energy, eV/f.u.: -20.2
ΔH_f (0 K), meV per atom: 340
Density, kg/m³: 8329

Cell: 4.7238 4.7238 3.3592 Å, 90.00 90.00 107.19°
Closest atoms and distances in Å follow each position.
Fractional coordinates of all 4 atoms:
Al 0.0000 0.5000 0.0000  2 Al 2.80, 4 Pb 2.90, 4 Tc 2.90
Al 0.5000 0.0000 0.0000  2 Al 2.80, 4 Pb 2.90, 4 Tc 2.90
Tc 0.0000 0.0000 0.5000  2 Pb 2.80, 8 Al 2.90
Pb 0.5000 0.5000 0.5000  2 Tc 2.80, 8 Al 2.90

=====

AlTc2Pb | PBE-GGA | optimized geometry

## Properties
Space group: R3m (160)
Uncorrected energy, eV/f.u.: -27.1
ΔH_f (0 K), meV per atom: 267
Density, kg/m³: 9934
Offset from the most stable computed form, eV per atom: 0.209

Cell: 9.1944 9.1944 9.1944 Å, 18.99 18.99 18.99°
Closest atoms and distances in Å follow each position.
Fractional coordinates of all 4 atoms:
Al 0.0000 0.0000 0.0000  3 Tc 2.62
Tc 0.2614 0.2614 0.2614  3 Tc 2.61, 3 Al 2.62
Tc 0.5233 0.5233 0.5233  3 Tc 2.61
Pb 0.7674 0.7674 0.7674  3 Tc 2.98, 6 Pb 3.03, 3 Al 3.24

=====

AlTePb2 | PBE-GGA | optimized geometry

## Properties
Space group: Immm (71)
Uncorrected energy, eV/f.u.: -13.8
Density, kg/m³: 8285
Offset from the most stable computed form, eV per atom: 0.068
ΔE_f (raw), meV per atom: 123

Cell: 6.1381 6.1381 6.1381 Å, 140.05 128.75 66.89°
Closest atoms and distances in Å follow each position.
Fractional coordinates of all 4 atoms:
Al 0.0000 0.0000 0.0000  4 Pb 3.17, 4 Te 3.38
Te 0.5000 0.5000 0.0000  4 Al 3.38, 8 Pb 3.45-3.56
Pb 0.2320 0.7320 0.5000  2 Al 3.17, 4 Pb 3.40, 2 Te 3.45
Pb 0.7680 0.2680 0.5000  2 Al 3.17, 4 Pb 3.40, 2 Te 3.45

=====

AlTePb3 | PBE-GGA | optimized geometry

## Properties
Space group: Pm-3m (221)
Uncorrected energy, eV/f.u.: -16.6
Density, kg/m³: 7783
Offset from the most stable computed form, eV per atom: 0.000
ΔE_f (raw), meV per atom: 290

Cell: 5.4914 5.4914 5.4914 Å, 90.00 90.00 90.00°
Closest atoms and distances in Å follow each position.
Fractional coordinates of all 5 atoms:
Al 0.0000 0.0000 0.0000  6 Pb 2.75
Te 0.5000 0.5000 0.5000  12 Pb 3.88
Pb 0.0000 0.0000 0.5000  2 Al 2.75
Pb 0.0000 0.5000 0.0000  2 Al 2.75
Pb 0.5000 0.0000 0.0000  2 Al 2.75

=====

Al2TePb | PBE-GGA | optimized geometry

## Properties
Space group: R3m (160)
Uncorrected energy, eV/f.u.: -14.1
Density, kg/m³: 6093
Offset from the most stable computed form, eV per atom: 0.044
ΔE_f (raw), meV per atom: 69

Cell: 8.3867 8.3867 8.3867 Å, 26.83 26.83 26.83°
Closest atoms and distances in Å follow each position.
Fractional coordinates of all 4 atoms:
Al 0.0000 0.0000 0.0000  3 Al 2.81, 3 Pb 3.06
Al 0.2634 0.2634 0.2634  3 Te 2.74, 3 Al 2.81
Te 0.5318 0.5318 0.5318  3 Al 2.74
Pb 0.7525 0.7525 0.7525  3 Al 3.06

=====

Al2TePb2 | PBE-GGA | optimized geometry

## Properties
Space group: I4/mmm (139)
Uncorrected energy, eV/f.u.: -17.5
Density, kg/m³: 7226
Offset from the most stable computed form, eV per atom: 0.000
ΔE_f (raw), meV per atom: 118

Cell: 9.2291 9.2291 9.2291 Å, 155.31 155.31 35.19°
Closest atoms and distances in Å follow each position.
Fractional coordinates of all 5 atoms:
Al 0.2500 0.7500 0.5000  4 Al 2.79
Al 0.7500 0.2500 0.5000  4 Al 2.79
Te 0.0000 0.0000 0.0000  8 Pb 3.38
Pb 0.3920 0.3920 0.0000  4 Al 3.18, 4 Te 3.38
Pb 0.6080 0.6080 0.0000  4 Al 3.18, 4 Te 3.38

=====

AlTePb2 | PBE-GGA | optimized geometry

## Properties
Space group: Pm (6)
Uncorrected energy, eV/f.u.: -13.9
Density, kg/m³: 8002
Offset from the most stable computed form, eV per atom: 0.048
ΔE_f (raw), meV per atom: 104

Cell: 3.9294 5.0235 6.2785 Å, 90.00 107.69 90.00°
Closest atoms and distances in Å follow each position.
Fractional coordinates of all 4 atoms:
Al 0.0000 0.0000 0.0000  2 Te 2.83, 1 Pb 2.96
Te 0.8879 0.5000 0.7812  2 Al 2.83
Pb 0.2460 0.0000 0.4943  1 Al 2.96
Pb 0.6154 0.5000 0.2362  3 Te 3.26-3.37, 4 Al 3.49, 4 Pb 3.53-3.55

=====

Al2TePb | PBE-GGA | optimized geometry

## Properties
Space group: Cm (8)
Uncorrected energy, eV/f.u.: -13.8
Density, kg/m³: 6231
Offset from the most stable computed form, eV per atom: 0.117
ΔE_f (raw), meV per atom: 142

Cell: 5.9729 5.9729 5.7336 Å, 117.22 117.22 35.27°
Closest atoms and distances in Å follow each position.
Fractional coordinates of all 4 atoms:
Al 0.0000 0.0000 0.0000  2 Al 2.82, 2 Te 2.93
Al 0.7002 0.7002 0.0496  2 Al 2.82, 2 Te 2.87
Te 0.4222 0.4222 0.3038  4 Al 2.87-2.93
Pb 0.2443 0.2443 0.6331  5 Al 3.21-3.35, 2 Te 3.37-3.38

=====

Al2TePb | PBE-GGA | optimized geometry

## Properties
Space group: Cmm2 (35)
Uncorrected energy, eV/f.u.: -13.7
Density, kg/m³: 6473
Offset from the most stable computed form, eV per atom: 0.141
ΔE_f (raw), meV per atom: 166

Cell: 3.2480 3.2480 9.6256 Å, 90.00 90.00 100.84°
Closest atoms and distances in Å follow each position.
Fractional coordinates of all 4 atoms:
Al 0.0000 0.0000 0.0000  2 Al 2.73, 2 Te 2.97
Al 0.5000 0.5000 0.1844  2 Al 2.73
Te 0.5000 0.5000 0.7782  4 Al 2.97-3.29, 4 Te 3.25
Pb 0.0000 0.0000 0.4261  4 Al 3.11-3.42, 4 Pb 3.25

=====

AlTePb2 | PBE-GGA | optimized geometry

## Properties
Space group: R-3m (166)
Uncorrected energy, eV/f.u.: -13.5
Density, kg/m³: 8292
Offset from the most stable computed form, eV per atom: 0.142
ΔE_f (raw), meV per atom: 197

Cell: 12.1670 12.1670 12.1670 Å, 15.63 15.63 15.63°
Closest atoms and distances in Å follow each position.
Fractional coordinates of all 4 atoms:
Al 0.0000 0.0000 0.0000  6 Pb 3.28, 6 Al 3.31
Te 0.5000 0.5000 0.5000  6 Te 3.31
Pb 0.2594 0.2594 0.2594  3 Al 3.28, 6 Pb 3.31
Pb 0.7406 0.7406 0.7406  3 Al 3.28, 6 Pb 3.31

=====

AlTePb | PBE-GGA | optimized geometry

## Properties
Space group: Amm2 (38)
Uncorrected energy, eV/f.u.: -10.5
Density, kg/m³: 7019
Offset from the most stable computed form, eV per atom: 0.066
ΔE_f (raw), meV per atom: 17

Cell: 12.5366 3.9700 3.9700 Å, 60.03 90.00 90.00°
Closest atoms and distances in Å follow each position.
Fractional coordinates of all 6 atoms:
Al 0.0000 0.0000 0.0000  6 Pb 3.00
Al 0.5000 0.0015 0.0015  6 Te 2.87
Te 0.3629 0.6681 0.6681  3 Al 2.87
Te 0.6371 0.6681 0.6681  3 Al 2.87
Pb 0.1542 0.3335 0.3335  3 Al 3.00
Pb 0.8458 0.3335 0.3335  3 Al 3.00

=====

Al2TePb | PBE-GGA | optimized geometry

## Properties
Space group: P4/mmm (123)
Uncorrected energy, eV/f.u.: -13.7
Density, kg/m³: 6566
Offset from the most stable computed form, eV per atom: 0.134
ΔE_f (raw), meV per atom: 160

Cell: 3.7086 3.7086 7.1490 Å, 90.00 90.00 90.00°
Closest atoms and distances in Å follow each position.
Fractional coordinates of all 4 atoms:
Al 0.0000 0.0000 0.2217  4 Te 3.06, 1 Al 3.17, 4 Pb 3.29
Al 0.0000 0.0000 0.7783  4 Te 3.06, 1 Al 3.17, 4 Pb 3.29
Te 0.5000 0.5000 0.0000  8 Al 3.06
Pb 0.5000 0.5000 0.5000  8 Al 3.29, 2 Te 3.57